Record 1
DFT (PBE) results for a relaxed RbNpCo crystal.

Cell lengths 6.893, 6.893, 6.893 Å; angles 90.00, 90.00, 90.00 degrees
Space group F-43m (No. 216)
Inequivalent atoms, fractional coordinates:
Rb 0.000 0.000 0.000 (multiplicity 4)
Np 0.000 0.000 0.500 (multiplicity 4)
Co 0.250 0.250 0.750 (multiplicity 4)

## Properties
Uncorrected energy ... -5.03 eV per atom
Total magnetic moment ... 0.015 μB per atom

=====

Record 2
DFT (PBE) results for a relaxed NpCoRe crystal.

Cell lengths 5.966, 5.966, 5.966 Å; angles 90.00, 90.00, 90.00 degrees
Space group F-43m (No. 216)
Inequivalent atoms, fractional coordinates:
Np 0.000 0.000 0.000 (multiplicity 4)
Co 0.250 0.250 0.250 (multiplicity 4)
Re 0.000 0.000 0.500 (multiplicity 4)

## Properties
Uncorrected energy ... -10.17 eV per atom
Total magnetic moment ... 0.051 μB per atom
Formation enthalpy at 0 K ... 13.866 kcal/mol of atoms

=====

Record 3
DFT (PBE) results for a relaxed NpCoSn crystal.

Cell lengths 6.345, 6.345, 6.345 Å; angles 90.00, 90.00, 90.00 degrees
Space group F-43m (No. 216)
Inequivalent atoms, fractional coordinates:
Np 0.000 0.000 0.000 (multiplicity 4)
Co 0.250 0.250 0.250 (multiplicity 4)
Sn 0.000 0.000 0.500 (multiplicity 4)

## Properties
Uncorrected energy ... -8.01 eV per atom
Total magnetic moment ... 0.705 μB per atom

=====

Record 4
DFT (PBE) results for a relaxed SrNpCo crystal.

Cell lengths 6.811, 6.811, 6.811 Å; angles 90.00, 90.00, 90.00 degrees
Space group F-43m (No. 216)
Inequivalent atoms, fractional coordinates:
Sr 0.000 0.000 0.000 (multiplicity 4)
Np 0.000 0.000 0.500 (multiplicity 4)
Co 0.250 0.250 0.750 (multiplicity 4)

## Properties
Uncorrected energy ... -6.42 eV per atom
Total magnetic moment ... 1.305 μB per atom

=====

Record 5
DFT (PBE) results for a relaxed ThNpCo crystal.

Cell lengths 6.418, 6.418, 6.418 Å; angles 90.00, 90.00, 90.00 degrees
Space group F-43m (No. 216)
Inequivalent atoms, fractional coordinates:
Th 0.000 0.000 0.000 (multiplicity 4)
Np 0.000 0.000 0.500 (multiplicity 4)
Co 0.250 0.250 0.750 (multiplicity 4)

## Properties
Uncorrected energy ... -8.53 eV per atom
Total magnetic moment ... 0.001 μB per atom
Energy above the lowest structure with this stoichiometry ... 0.0 meV/atom
Formation enthalpy at 0 K ... 13.094 kcal/mol of atoms

=====

Record 6
DFT (PBE) results for a relaxed NpZnCo crystal.

Cell lengths 6.001, 6.001, 6.001 Å; angles 90.00, 90.00, 90.00 degrees
Space group F-43m (No. 216)
Inequivalent atoms, fractional coordinates:
Np 0.000 0.000 0.000 (multiplicity 4)
Zn 0.000 0.000 0.500 (multiplicity 4)
Co 0.250 0.250 0.250 (multiplicity 4)

## Properties
Uncorrected energy ... -6.81 eV per atom
Total magnetic moment ... 1.162 μB per atom
Formation enthalpy at 0 K ... 5.453 kcal/mol of atoms

=====

Record 7
DFT (PBE) results for a relaxed ZrNpCo crystal.

Cell lengths 6.187, 6.187, 6.187 Å; angles 90.00, 90.00, 90.00 degrees
Space group F-43m (No. 216)
Inequivalent atoms, fractional coordinates:
Zr 0.000 0.000 0.000 (multiplicity 4)
Np 0.000 0.000 0.500 (multiplicity 4)
Co 0.250 0.250 0.750 (multiplicity 4)

## Properties
Uncorrected energy ... -9.12 eV per atom
Total magnetic moment ... 1.482 μB per atom
Formation enthalpy at 0 K ... 8.137 kcal/mol of atoms

=====

What did we get for theoretical density? Answer: 7.736 15.083 10.782 8.061 13.265 11.105 10.859 g/cm³, in the order shown.